Record 1
# PBE-GGA Sm3CoRh, relaxed
data_Sm3CoRh
_chemical_formula_sum 'Sm6 Co2 Rh2'
_symmetry_space_group_name_H-M 'P 1 21/m 1'
_symmetry_Int_Tables_number 11
_symmetry_space_group_name_Hall '-P 2yb'
_cell_length_a 7.836
_cell_length_b 3.992
_cell_length_c 8.289
_cell_angle_alpha 90.00
_cell_angle_beta 110.85
_cell_angle_gamma 90.00
loop_
_atom_site_label
_atom_site_type_symbol
_atom_site_fract_x
_atom_site_fract_y
_atom_site_fract_z
_atom_site_occupancy
Sm1 Sm 0.091 0.250 0.228 1
Sm2 Sm 0.309 0.250 0.924 1
Sm3 Sm 0.364 0.750 0.597 1
Co1 Co 0.046 0.250 0.560 1
Rh1 Rh 0.360 0.750 0.196 1
# Formation energy from the elements ... -0.369 eV/atom
# Volume ... 24.2 Å³ per atom
# D(E_F) ... 0.990 states/eV/atom

---

Record 2
# PBE-GGA Sm2CoRh, relaxed
data_Sm2CoRh
_chemical_formula_sum 'Sm4 Co2 Rh2'
_symmetry_space_group_name_H-M 'P 1 21/m 1'
_symmetry_Int_Tables_number 11
_symmetry_space_group_name_Hall '-P 2yb'
_cell_length_a 5.761
_cell_length_b 4.018
_cell_length_c 7.987
_cell_angle_alpha 90.00
_cell_angle_beta 110.31
_cell_angle_gamma 90.00
loop_
_atom_site_label
_atom_site_type_symbol
_atom_site_fract_x
_atom_site_fract_y
_atom_site_fract_z
_atom_site_occupancy
Sm1 Sm 0.212 0.250 0.432 1
Sm2 Sm 0.213 0.250 0.924 1
Co1 Co 0.355 0.750 0.714 1
Rh1 Rh 0.355 0.750 0.214 1
# Formation energy from the elements ... -0.401 eV/atom
# E above lowest polymorph ... 0 meV per atom
# Volume ... 21.7 Å³ per atom
# D(E_F) ... 0.974 states/eV/atom

---

Record 3
# PBE-GGA Sm2CoRh, relaxed
data_Sm2CoRh
_chemical_formula_sum 'Sm2 Co1 Rh1'
_symmetry_space_group_name_H-M 'P 4/m m m'
_symmetry_Int_Tables_number 123
_symmetry_space_group_name_Hall '-P 4 2'
_cell_length_a 3.463
_cell_length_b 3.463
_cell_length_c 6.952
_cell_angle_alpha 90.00
_cell_angle_beta 90.00
_cell_angle_gamma 90.00
loop_
_atom_site_label
_atom_site_type_symbol
_atom_site_fract_x
_atom_site_fract_y
_atom_site_fract_z
_atom_site_occupancy
Sm1 Sm 0.000 0.000 0.246 1
Co1 Co 0.500 0.500 0.000 1
Rh1 Rh 0.500 0.500 0.500 1
# Formation energy from the elements ... -0.361 eV/atom
# E above lowest polymorph ... 40 meV per atom
# Volume ... 20.8 Å³ per atom
# D(E_F) ... 0.533 states/eV/atom

---

Record 4
# PBE-GGA Sm6Co2Rh, relaxed
data_Sm6Co2Rh
_chemical_formula_sum 'Sm12 Co4 Rh2'
_symmetry_space_group_name_H-M 'P 1 21/c 1'
_symmetry_Int_Tables_number 14
_symmetry_space_group_name_Hall '-P 2ybc'
_cell_length_a 6.643
_cell_length_b 7.157
_cell_length_c 11.804
_cell_angle_alpha 90.00
_cell_angle_beta 120.82
_cell_angle_gamma 90.00
loop_
_atom_site_label
_atom_site_type_symbol
_atom_site_fract_x
_atom_site_fract_y
_atom_site_fract_z
_atom_site_occupancy
Sm1 Sm 0.082 0.066 0.252 1
Sm2 Sm 0.268 0.673 0.085 1
Sm3 Sm 0.411 0.181 0.071 1
Co1 Co 0.317 0.108 0.774 1
Rh1 Rh 0.000 0.000 0.000 1
# Formation energy from the elements ... -0.183 eV/atom
# E above lowest polymorph ... 52 meV per atom
# Volume ... 26.8 Å³ per atom
# D(E_F) ... 0.993 states/eV/atom

---

Record 5
# PBE-GGA Sm2CoRh, relaxed
data_Sm2CoRh
_chemical_formula_sum 'Sm8 Co4 Rh4'
_symmetry_space_group_name_H-M 'F m -3 m'
_symmetry_Int_Tables_number 225
_symmetry_space_group_name_Hall '-F 4 2 3'
_cell_length_a 6.934
_cell_length_b 6.934
_cell_length_c 6.934
_cell_angle_alpha 90.00
_cell_angle_beta 90.00
_cell_angle_gamma 90.00
loop_
_atom_site_label
_atom_site_type_symbol
_atom_site_fract_x
_atom_site_fract_y
_atom_site_fract_z
_atom_site_occupancy
Sm1 Sm 0.250 0.250 0.250 1
Co1 Co 0.000 0.000 0.000 1
Rh1 Rh 0.000 0.000 0.500 1
# Formation energy from the elements ... -0.359 eV/atom
# E above lowest polymorph ... 42 meV per atom
# Volume ... 20.8 Å³ per atom
# D(E_F) ... 0.339 states/eV/atom

---

Record 6
# PBE-GGA SmCoSnRh, relaxed
data_SmCoSnRh
_chemical_formula_sum 'Sm4 Co4 Sn4 Rh4'
_symmetry_space_group_name_H-M 'F -4 3 m'
_symmetry_Int_Tables_number 216
_symmetry_space_group_name_Hall 'F -4 2 3'
_cell_length_a 6.648
_cell_length_b 6.648
_cell_length_c 6.648
_cell_angle_alpha 90.00
_cell_angle_beta 90.00
_cell_angle_gamma 90.00
loop_
_atom_site_label
_atom_site_type_symbol
_atom_site_fract_x
_atom_site_fract_y
_atom_site_fract_z
_atom_site_occupancy
Sm1 Sm 0.000 0.000 0.000 1
Co1 Co 0.250 0.250 0.750 1
Sn1 Sn 0.000 0.000 0.500 1
Rh1 Rh 0.250 0.250 0.250 1
# Formation energy from the elements ... -0.426 eV/atom
# Volume ... 18.4 Å³ per atom
# D(E_F) ... 0.336 states/eV/atom

---

Record 7
# PBE-GGA TbSmCoRh, relaxed
data_TbSmCoRh
_chemical_formula_sum 'Tb4 Sm4 Co4 Rh4'
_symmetry_space_group_name_H-M 'F -4 3 m'
_symmetry_Int_Tables_number 216
_symmetry_space_group_name_Hall 'F -4 2 3'
_cell_length_a 6.873
_cell_length_b 6.873
_cell_length_c 6.873
_cell_angle_alpha 90.00
_cell_angle_beta 90.00
_cell_angle_gamma 90.00
loop_
_atom_site_label
_atom_site_type_symbol
_atom_site_fract_x
_atom_site_fract_y
_atom_site_fract_z
_atom_site_occupancy
Tb1 Tb 0.000 0.000 0.000 1
Sm1 Sm 0.000 0.000 0.500 1
Co1 Co 0.250 0.250 0.250 1
Rh1 Rh 0.250 0.250 0.750 1
# Formation energy from the elements ... -0.412 eV/atom
# Volume ... 20.3 Å³ per atom
# D(E_F) ... 0.328 states/eV/atom

---

Record 8
# PBE-GGA Sm2Th2CoRh2, relaxed
data_Sm2Th2CoRh2
_chemical_formula_sum 'Sm4 Th4 Co2 Rh4'
_symmetry_space_group_name_H-M 'C 1 2/m 1'
_symmetry_Int_Tables_number 12
_symmetry_space_group_name_Hall '-C 2y'
_cell_length_a 14.291
_cell_length_b 4.072
_cell_length_c 6.775
_cell_angle_alpha 90.00
_cell_angle_beta 118.31
_cell_angle_gamma 90.00
loop_
_atom_site_label
_atom_site_type_symbol
_atom_site_fract_x
_atom_site_fract_y
_atom_site_fract_z
_atom_site_occupancy
Sm1 Sm 0.000 0.000 0.234 1
Th1 Th 0.212 0.500 0.713 1
Co1 Co 0.000 0.500 0.500 1
Rh1 Rh 0.145 0.500 0.144 1
# Formation energy from the elements ... -0.482 eV/atom
# Volume ... 24.8 Å³ per atom
# D(E_F) ... 0.587 states/eV/atom

---

Record 9
# PBE-GGA SmTmCoRh, relaxed
data_SmTmCoRh
_chemical_formula_sum 'Sm4 Tm4 Co4 Rh4'
_symmetry_space_group_name_H-M 'F -4 3 m'
_symmetry_Int_Tables_number 216
_symmetry_space_group_name_Hall 'F -4 2 3'
_cell_length_a 6.807
_cell_length_b 6.807
_cell_length_c 6.807
_cell_angle_alpha 90.00
_cell_angle_beta 90.00
_cell_angle_gamma 90.00
loop_
_atom_site_label
_atom_site_type_symbol
_atom_site_fract_x
_atom_site_fract_y
_atom_site_fract_z
_atom_site_occupancy
Sm1 Sm 0.000 0.000 0.000 1
Tm1 Tm 0.000 0.000 0.500 1
Co1 Co 0.250 0.250 0.250 1
Rh1 Rh 0.250 0.250 0.750 1
# Formation energy from the elements ... -0.455 eV/atom
# Volume ... 19.7 Å³ per atom
# D(E_F) ... 0.394 states/eV/atom

---

Record 10
# PBE-GGA SmZrCoRh, relaxed
data_SmZrCoRh
_chemical_formula_sum 'Sm4 Zr4 Co4 Rh4'
_symmetry_space_group_name_H-M 'F -4 3 m'
_symmetry_Int_Tables_number 216
_symmetry_space_group_name_Hall 'F -4 2 3'
_cell_length_a 6.699
_cell_length_b 6.699
_cell_length_c 6.699
_cell_angle_alpha 90.00
_cell_angle_beta 90.00
_cell_angle_gamma 90.00
loop_
_atom_site_label
_atom_site_type_symbol
_atom_site_fract_x
_atom_site_fract_y
_atom_site_fract_z
_atom_site_occupancy
Sm1 Sm 0.000 0.000 0.000 1
Zr1 Zr 0.000 0.000 0.500 1
Co1 Co 0.250 0.250 0.750 1
Rh1 Rh 0.250 0.250 0.250 1
# Formation energy from the elements ... -0.356 eV/atom
# Volume ... 18.8 Å³ per atom
# D(E_F) ... 0.710 states/eV/atom

---

Record 11
# PBE-GGA CoSn4Rh, relaxed
data_CoSn4Rh
_chemical_formula_sum 'Co1 Sn4 Rh1'
_symmetry_space_group_name_H-M 'P 1 2/m 1'
_symmetry_Int_Tables_number 10
_symmetry_space_group_name_Hall '-P 2y'
_cell_length_a 6.184
_cell_length_b 3.478
_cell_length_c 6.568
_cell_angle_alpha 90.00
_cell_angle_beta 109.06
_cell_angle_gamma 90.00
loop_
_atom_site_label
_atom_site_type_symbol
_atom_site_fract_x
_atom_site_fract_y
_atom_site_fract_z
_atom_site_occupancy
Co1 Co 0.000 0.000 0.000 1
Sn1 Sn 0.067 0.500 0.736 1
Sn2 Sn 0.411 0.000 0.269 1
Rh1 Rh 0.500 0.500 0.000 1
# Formation energy from the elements ... -0.069 eV/atom
# Volume ... 22.3 Å³ per atom
# D(E_F) ... 0.561 states/eV/atom

---

Record 12
# PBE-GGA Co2SnRh2, relaxed
data_Co2SnRh2
_chemical_formula_sum 'Co4 Sn2 Rh4'
_symmetry_space_group_name_H-M 'P 4/m b m'
_symmetry_Int_Tables_number 127
_symmetry_space_group_name_Hall '-P 4 2ab'
_cell_length_a 6.390
_cell_length_b 6.390
_cell_length_c 3.585
_cell_angle_alpha 90.00
_cell_angle_beta 90.00
_cell_angle_gamma 90.00
loop_
_atom_site_label
_atom_site_type_symbol
_atom_site_fract_x
_atom_site_fract_y
_atom_site_fract_z
_atom_site_occupancy
Co1 Co 0.127 0.373 0.000 1
Sn1 Sn 0.000 0.000 0.000 1
Rh1 Rh 0.157 0.657 0.500 1
# Formation energy from the elements ... 0.146 eV/atom
# E above lowest polymorph ... 0 meV per atom
# Volume ... 14.6 Å³ per atom
# D(E_F) ... 0.975 states/eV/atom